Entry 1:
CrInO2 (GGA-PBEsol, optimized geometry); crystal system = trigonal; energy relative to the elements, uncorrected = -1.51 eV per atom; space group = R-3m
1.0
2.985 0.000 0.000
-1.492 2.585 0.000
0.000 0.000 19.606
Cr In O
3 3 6
Direct
0.000 0.000 0.000
0.333 0.667 0.667
0.667 0.333 0.333
0.000 0.000 0.500
0.333 0.667 0.167
0.667 0.333 0.833
0.000 0.000 0.383
0.000 0.000 0.617
0.333 0.667 0.050
0.333 0.667 0.283
0.667 0.333 0.717
0.667 0.333 0.950



Entry 2:
SmDy2S4 (GGA-PBEsol, optimized geometry); crystal system = tetragonal; energy relative to the elements, uncorrected = -2.10 eV per atom; space group = I-42d
1.0
-4.183 4.183 4.015
4.183 -4.183 4.015
4.183 4.183 -4.015
Sm Dy S
2 4 8
Direct
0.000 0.000 0.000
0.750 0.250 0.500
0.225 0.125 0.600
0.375 0.775 0.900
0.525 0.625 0.400
0.875 0.475 0.100
0.126 0.383 0.396
0.133 0.376 0.896
0.270 0.874 0.257
0.480 0.237 0.104
0.617 0.013 0.743
0.624 0.520 0.757
0.763 0.867 0.243
0.987 0.730 0.604



Entry 3:
AgMo6S8 (GGA-PBEsol, optimized geometry); crystal system = trigonal; energy relative to the elements, uncorrected = -0.72 eV per atom; space group = R-3
1.0
4.610 2.662 3.567
-4.610 2.662 3.567
0.000 -5.323 3.567
Ag Mo S
1 6 8
Direct
0.000 0.000 0.000
0.214 0.552 0.408
0.408 0.214 0.552
0.448 0.592 0.786
0.552 0.408 0.214
0.592 0.786 0.448
0.786 0.448 0.592
0.132 0.380 0.733
0.221 0.221 0.221
0.267 0.868 0.620
0.380 0.733 0.132
0.620 0.267 0.868
0.733 0.132 0.380
0.779 0.779 0.779
0.868 0.620 0.267



Entry 4:
Ba2ScSe (GGA-PBEsol, optimized geometry); crystal system = tetragonal; energy relative to the elements, uncorrected = -0.33 eV per atom; space group = I-4m2
1.0
4.765 0.000 0.000
0.000 4.765 0.000
0.000 0.000 11.405
Ba Sc Se
4 2 2
Direct
0.000 0.000 0.000
0.000 0.500 0.250
0.500 0.000 0.750
0.500 0.500 0.500
0.000 0.000 0.500
0.500 0.500 0.000
0.000 0.500 0.750
0.500 0.000 0.250



Entry 5:
La2Cu3 (GGA-PBEsol, optimized geometry); crystal system = trigonal; space group = R-3m; DFT formation energy = -0.327 eV per formula unit
1.0
4.449 0.000 0.000
-2.225 3.853 0.000
0.000 0.000 18.734
La Cu
6 9
Direct
0.000 0.000 0.087
0.000 0.000 0.913
0.333 0.667 0.580
0.333 0.667 0.753
0.667 0.333 0.247
0.667 0.333 0.420
0.000 0.000 0.337
0.000 0.000 0.500
0.000 0.000 0.663
0.333 0.667 0.003
0.333 0.667 0.167
0.333 0.667 0.330
0.667 0.333 0.670
0.667 0.333 0.833
0.667 0.333 0.997



Entry 6:
NaAlSiO4 (GGA-PBEsol, optimized geometry); crystal system = hexagonal; energy relative to the elements, uncorrected = -2.74 eV per atom; space group = P6_3; distance to the lowest polymorph of the same formula = 9.4 meV/atom
1.0
9.921 0.000 0.000
-4.961 8.592 0.000
0.000 0.000 8.366
Na Al Si O
8 8 8 32
Direct
0.000 0.000 0.000
0.000 0.000 0.500
0.005 0.446 0.492
0.441 0.995 0.492
0.446 0.441 0.992
0.554 0.559 0.492
0.559 0.005 0.992
0.995 0.554 0.992
0.086 0.328 0.177
0.242 0.914 0.177
0.328 0.242 0.677
0.333 0.667 0.691
0.667 0.333 0.191
0.672 0.758 0.177
0.758 0.086 0.677
0.914 0.672 0.677
0.087 0.328 0.808
0.241 0.913 0.808
0.328 0.241 0.308
0.333 0.667 0.290
0.667 0.333 0.790
0.672 0.759 0.808
0.759 0.087 0.308
0.913 0.672 0.308
0.007 0.302 0.984
0.041 0.784 0.175
0.059 0.777 0.819
0.157 0.509 0.756
0.168 0.524 0.225
0.216 0.257 0.175
0.223 0.282 0.819
0.257 0.041 0.675
0.282 0.059 0.319
0.295 0.993 0.984
0.302 0.295 0.484
0.333 0.667 0.483
0.353 0.843 0.756
0.357 0.832 0.225
0.476 0.643 0.225
0.491 0.647 0.756
0.509 0.353 0.256
0.524 0.357 0.725
0.643 0.168 0.725
0.647 0.157 0.256
0.667 0.333 0.983
0.698 0.705 0.984
0.705 0.007 0.484
0.718 0.941 0.819
0.743 0.959 0.175
0.777 0.718 0.319
0.784 0.743 0.675
0.832 0.476 0.725
0.843 0.491 0.256
0.941 0.223 0.319
0.959 0.216 0.675
0.993 0.698 0.484